MgCoNi2O4 after structural relaxation. Source: Alexandria, functional GGA+U.

Summary:
- Magnetic moment: 7.000 μB/f.u.
- Total energy: -5.42 eV/atom

```
MgCoNi2O4
1.0
5.189 0.000 0.000
0.000 3.010 0.000
-1.748 0.000 4.909
Mg Co Ni O
1 1 2 4
Direct
0.000 0.000 0.000 Mg
0.000 0.500 0.500 Co
0.500 0.000 0.500 Ni
0.500 0.500 0.000 Ni
0.250 0.500 0.247 O
0.252 0.000 0.753 O
0.748 0.000 0.247 O
0.750 0.500 0.753 O
```